Hg2BiSb2 (GGA-PBE, relaxed); energy above the most stable polymorph in this dataset = 98.4 meV per atom; magnetization = 0.000 μB/f.u.; ΔE_f (raw) = 0.25 eV per atom; space group = P4/mbm, No. 127
1.0
8.429 0.000 0.000
0.000 8.429 0.000
0.000 0.000 3.918
Sb Bi Hg
4 2 4
Direct
0.133 0.633 0.500 Sb
0.633 0.867 0.500 Sb
0.867 0.367 0.500 Sb
0.367 0.133 0.500 Sb
0.000 0.000 0.000 Bi
0.500 0.500 0.000 Bi
0.342 0.842 0.000 Hg
0.842 0.658 0.000 Hg
0.658 0.158 0.000 Hg
0.158 0.342 0.000 Hg

=====

HgBi2Sb (GGA-PBE, relaxed); energy above the most stable polymorph in this dataset = 0.0 meV per atom; magnetization = 0.000 μB/f.u.; ΔE_f (raw) = 0.09 eV per atom; space group = R-3m, No. 166
1.0
-0.255 2.588 3.500
-2.546 -1.119 3.359
4.921 -3.249 5.477
Sb Bi Hg
1 2 1
Direct
0.000 0.000 0.000 Sb
0.250 0.250 0.250 Bi
0.750 0.750 0.750 Bi
0.500 0.500 0.500 Hg

=====

Hg2BiSb2 (GGA-PBE, relaxed); energy above the most stable polymorph in this dataset = 1.7 meV per atom; magnetization = 0.000 μB/f.u.; ΔE_f (raw) = 0.15 eV per atom; space group = P4/mbm, No. 127
1.0
-8.566 2.484 2.148
0.976 -3.802 8.292
1.168 2.970 1.224
Sb Bi Hg
4 2 4
Direct
0.299 0.799 0.000 Sb
0.799 0.701 0.000 Sb
0.701 0.201 0.000 Sb
0.201 0.299 0.000 Sb
0.000 0.000 0.000 Bi
0.500 0.500 0.000 Bi
0.110 0.610 0.500 Hg
0.610 0.890 0.500 Hg
0.890 0.390 0.500 Hg
0.390 0.110 0.500 Hg

=====

Hg2Bi5Sb (GGA-PBE, relaxed); magnetization = 0.000 μB/f.u.; ΔE_f (raw) = 0.09 eV per atom; space group = P1, No. 1
1.0
4.116 2.911 4.881
3.889 10.632 6.008
2.689 5.712 12.324
Hg Bi Sb
2 5 1
Direct
0.340 0.541 0.091 Hg
0.111 0.739 0.591 Hg
0.648 0.379 0.366 Bi
0.983 0.281 0.599 Bi
0.854 0.904 0.388 Bi
0.107 0.729 0.813 Bi
0.667 0.048 0.077 Bi
0.289 0.155 0.851 Sb